Pm3Fe3I PBE optimized geometry; V = 24.4 A^3/atom; space-group type = P6_3/m; DFT total energy = -6.095 eV per atom
1.0
4.044 0.000 0.000
0.000 8.559 -4.942
0.000 0.000 9.883
Pm I Fe
6 2 6
direct
0.250 0.306 0.926
0.750 0.926 0.620
0.250 0.620 0.694
0.750 0.694 0.074
0.250 0.074 0.380
0.750 0.380 0.306
0.750 0.333 0.667
0.250 0.667 0.333
0.250 0.987 0.853
0.750 0.134 0.987
0.750 0.853 0.866
0.750 0.013 0.147
0.250 0.147 0.134
0.250 0.866 0.013



PmFeI PBE optimized geometry; V = 29.4 A^3/atom; energy above the lowest structure with this stoichiometry = 0 meV per atom; space-group type = R-3m
1.0
-2.915 0.213 2.779
-3.573 -1.739 -0.688
1.997 -11.104 5.871
Pm Fe I
2 2 2
direct
0.553 0.553 0.340
0.447 0.447 0.660
0.834 0.834 0.497
0.166 0.166 0.503
0.279 0.279 0.163
0.721 0.721 0.837



no.,magnetization (μB per formula unit)
1,4.6
2,1.2